No. 1
Na3B7O12: relaxed, PBEsol.

Lattice parameters (Å, degrees): 6.680 8.277 8.906 94.89 100.63 99.47
Space group P-1 (No. 2)
Symmetry-distinct sites (fractional):
Na 0.052 0.082 0.290
Na 0.263 0.225 0.976
Na 0.432 0.268 0.663
B 0.100 0.733 0.250
B 0.159 0.450 0.292
B 0.187 0.495 0.725
B 0.273 0.873 0.051
B 0.289 0.847 0.529
B 0.400 0.952 0.810
B 0.489 0.305 0.303
O 0.045 0.597 0.687
O 0.101 0.817 0.110
O 0.122 0.336 0.757
O 0.173 0.857 0.387
O 0.222 0.601 0.248
O 0.238 0.923 0.907
O 0.275 0.330 0.310
O 0.282 0.959 0.651
O 0.393 0.540 0.731
O 0.417 0.734 0.546
O 0.468 0.169 0.185
O 0.472 0.880 0.136

- DOS at the Fermi energy: 0.000 states/eV per atom


No. 2
Na3BP2O8: relaxed, PBEsol.

Lattice parameters (Å, degrees): 12.618 10.289 10.211 90.00 92.14 90.00
Space group C2/c (No. 15)
Symmetry-distinct sites (fractional):
Na 0.000 0.041 0.250
Na 0.000 0.349 0.750
Na 0.087 0.386 0.380
Na 0.247 0.390 0.731
B 0.134 0.110 0.999
P 0.086 0.142 0.542
P 0.160 0.371 0.060
O 0.035 0.124 0.919
O 0.096 0.161 0.395
O 0.097 0.441 0.162
O 0.130 0.401 0.919
O 0.131 0.250 0.626
O 0.134 0.005 0.588
O 0.151 0.220 0.090
O 0.219 0.095 0.905

- DOS at the Fermi energy: 0.000 states/eV per atom


Computed energy relative to the elements, uncorrected, in the same sequence as the records: -2.407; -2.309 eV/atom.